This record from Alexandria describes a relaxed CrRhO2F crystal. The functional is PBE+U.

## Properties
E = -28.8 eV per cell
Total moment = 1.7 μB per formula unit
Crystal system = tetragonal

Cell lengths 3.8064, 3.8064, 3.8735 Å; angles 90.00, 90.00, 90.00 degrees
Space group P4/mmm (No. 123)
Inequivalent atoms, fractional coordinates:
Cr  0.0000  0.0000  0.0000
Rh  0.5000  0.5000  0.5000
O  0.0000  0.5000  0.0000
F  0.0000  0.0000  0.5000